Below is BaSr2In after structural relaxation, with properties calculated at the GGA-PBEsol level.

Properties
For the formation energy, the calculation gives -0.14 eV/atom. The value obtained for the density of states at the Fermi level is 4.35 states/eV per cell. The calculation puts the electronic total energy at -2.339 eV per atom. The value obtained for the density is 4.60 g cm⁻³. The relative energy among the computed polymorphs is 0.079 eV/atom.

Cell: 5.7280 6.2097 5.7280 Å, 62.53 90.00 117.47°
Atoms (fractional coordinates):
1 Ba 0.5000 0.0000 0.5000
2 In 0.0000 0.0000 0.0000
3 Sr 0.2500 0.5000 0.2500
4 Sr 0.7500 0.5000 0.7500


Below is ReSi2Ni after structural relaxation, with properties calculated at the GGA-PBEsol level.

Properties
The calculation puts the uncorrected formation energy at -0.3074 eV/atom. The value obtained for the density of states at the Fermi level is 1.90 states/eV per cell. The calculation puts the electronic total energy at -8.053 eV per atom. The value obtained for the density is 10.27 g cm⁻³.

Cell: 3.0014 4.0264 4.0264 Å, 90.00 90.00 90.00°
Atoms (fractional coordinates):
1 Ni 0.5000 0.5000 0.5000
2 Re 0.5000 0.0000 0.0000
3 Si 0.0000 0.0000 0.5000
4 Si 0.0000 0.5000 0.0000


Below is TaZnGe3 after structural relaxation, with properties calculated at the GGA-PBEsol level.

Properties
For the formation energy, the calculation gives 1.14 eV/atom. The value obtained for the density of states at the Fermi level is 4.31 states/eV per cell. The calculation puts the electronic total energy at -4.655 eV per atom. The value obtained for the density is 7.81 g cm⁻³.

Cell: 4.6213 4.6213 4.6213 Å, 90.00 90.00 90.00°
Atoms (fractional coordinates):
1 Ge 0.0000 0.5000 0.0000
2 Ge 0.0000 0.0000 0.5000
3 Ge 0.5000 0.0000 0.0000
4 Zn 0.0000 0.0000 0.0000
5 Ta 0.5000 0.5000 0.5000


Below is Cd2CuPb after structural relaxation, with properties calculated at the GGA-PBEsol level.

Properties
For the formation energy, the calculation gives 0.11 eV/atom. The value obtained for the density of states at the Fermi level is 1.24 states/eV per cell. The calculation puts the electronic total energy at -2.571 eV per atom. The value obtained for the density is 9.49 g cm⁻³.

Cell: 3.0061 4.4647 6.9995 Å, 108.60 102.40 90.00°
Atoms (fractional coordinates):
1 Pb 0.1880 0.6880 0.3760
2 Cu 0.4978 0.4978 0.9956
3 Cd 0.9907 0.9907 0.9815
4 Cd 0.8235 0.3235 0.6469


Below is MnReAg after structural relaxation, with properties calculated at the GGA-PBEsol level.

Properties
For the formation energy, the calculation gives 0.37 eV/atom. The value obtained for the density of states at the Fermi level is 2.43 states/eV per cell. The calculation puts the electronic total energy at -8.430 eV per atom. The value obtained for the density is 13.78 g cm⁻³. The relative energy among the computed polymorphs is 0.000 eV/atom.

Cell: 2.6877 2.6877 6.7206 Å, 90.00 90.00 120.00°
Atoms (fractional coordinates):
1 Ag 0.0000 0.0000 0.9896
2 Mn 0.3333 0.6667 0.6488
3 Re 0.6667 0.3333 0.3616


Below is LaHg2Sb after structural relaxation, with properties calculated at the GGA-PBEsol level.

Properties
The calculation puts the uncorrected formation energy at -0.4251 eV/atom. The value obtained for the density of states at the Fermi level is 2.70 states/eV per cell. The calculation puts the electronic total energy at -3.184 eV per atom. The value obtained for the density is 10.69 g cm⁻³.

Cell: 3.5496 4.1843 6.9192 Å, 90.00 90.00 90.00°
Atoms (fractional coordinates):
1 Hg 0.0000 0.0000 0.7326
2 Hg 0.0000 0.0000 0.2674
3 La 0.5000 0.5000 0.0000
4 Sb 0.5000 0.5000 0.5000